[1]
A relaxed structure of ScSiNi2, computed with PBE.

Output
* formation energy without anion corrections: -461.2 meV/atom

a = 3.179 Å, b = 4.091 Å, c = 4.621 Å
α = 90.00°, β = 108.67°, γ = 90.00°
Sites, in units of the cell vectors:
Sc  0.000  0.000  0.000
Si  0.615  0.500  0.251
Ni  0.318  0.500  0.672
Ni  0.703  0.000  0.464



[2]
A relaxed structure of ScSi4Ni, computed with PBE.

Output
* formation energy without anion corrections: 9.7 meV/atom

a = 4.976 Å, b = 4.976 Å, c = 4.976 Å
α = 60.00°, β = 60.00°, γ = 60.00°
Sites, in units of the cell vectors:
Sc  0.000  0.000  0.000
Si  0.129  0.624  0.624
Si  0.624  0.129  0.624
Si  0.624  0.624  0.129
Si  0.624  0.624  0.624
Ni  0.250  0.250  0.250



[3]
A relaxed structure of Sc3Si2Ni2, computed with PBE.

Output
* formation energy without anion corrections: -781.4 meV/atom

a = 5.253 Å, b = 7.286 Å, c = 11.945 Å
α = 90.00°, β = 90.00°, γ = 90.00°
Sites, in units of the cell vectors:
Sc  0.133  0.101  0.104
Sc  0.133  0.101  0.396
Sc  0.133  0.399  0.604
Sc  0.133  0.399  0.896
Sc  0.366  0.743  0.250
Sc  0.366  0.757  0.750
Sc  0.634  0.243  0.250
Sc  0.634  0.257  0.750
Sc  0.867  0.601  0.104
Sc  0.867  0.601  0.396
Sc  0.867  0.899  0.604
Sc  0.867  0.899  0.896
Si  0.147  0.110  0.750
Si  0.147  0.390  0.250
Si  0.337  0.750  0.000
Si  0.337  0.750  0.500
Si  0.663  0.250  0.000
Si  0.663  0.250  0.500
Si  0.853  0.610  0.750
Si  0.853  0.890  0.250
Ni  0.379  0.041  0.589
Ni  0.379  0.041  0.911
Ni  0.379  0.459  0.089
Ni  0.379  0.459  0.411
Ni  0.621  0.541  0.589
Ni  0.621  0.541  0.911
Ni  0.621  0.959  0.089
Ni  0.621  0.959  0.411



[4]
A relaxed structure of ScSiNi2, computed with PBE.

Output
* formation energy without anion corrections: -611.0 meV/atom

a = 3.583 Å, b = 3.583 Å, c = 8.883 Å
α = 90.00°, β = 90.00°, γ = 90.00°
Sites, in units of the cell vectors:
Sc  0.250  0.250  0.214
Sc  0.750  0.750  0.786
Si  0.250  0.250  0.662
Si  0.750  0.750  0.338
Ni  0.250  0.250  0.920
Ni  0.250  0.750  0.500
Ni  0.750  0.250  0.500
Ni  0.750  0.750  0.080



[5]
A relaxed structure of ScSi2Ni, computed with PBE.

Output
* formation energy without anion corrections: -678.9 meV/atom

a = 6.107 Å, b = 4.010 Å, c = 9.498 Å
α = 90.00°, β = 90.00°, γ = 90.00°
Sites, in units of the cell vectors:
Sc  0.208  0.250  0.175
Sc  0.292  0.750  0.675
Sc  0.708  0.250  0.325
Sc  0.792  0.750  0.825
Si  0.031  0.750  0.348
Si  0.239  0.750  0.966
Si  0.261  0.250  0.466
Si  0.469  0.250  0.848
Si  0.531  0.750  0.152
Si  0.739  0.750  0.534
Si  0.761  0.250  0.034
Si  0.969  0.250  0.652
Ni  0.099  0.250  0.883
Ni  0.401  0.750  0.383
Ni  0.599  0.250  0.617
Ni  0.901  0.750  0.117



[6]
A relaxed structure of Sc3Si2Ni, computed with PBE.

Output
* formation energy without anion corrections: -247.9 meV/atom

a = 6.333 Å, b = 6.333 Å, c = 6.614 Å
α = 90.00°, β = 90.00°, γ = 120.00°
Sites, in units of the cell vectors:
Sc  0.170  0.341  0.250
Sc  0.170  0.830  0.250
Sc  0.341  0.170  0.750
Sc  0.659  0.830  0.250
Sc  0.830  0.170  0.750
Sc  0.830  0.659  0.750
Si  0.333  0.667  0.579
Si  0.333  0.667  0.921
Si  0.667  0.333  0.079
Si  0.667  0.333  0.421
Ni  0.000  0.000  0.000
Ni  0.000  0.000  0.500



[7]
A relaxed structure of ScSi2Ni, computed with PBE.

Output
* formation energy without anion corrections: -171.5 meV/atom

a = 4.359 Å, b = 4.359 Å, c = 4.359 Å
α = 60.00°, β = 60.00°, γ = 60.00°
Sites, in units of the cell vectors:
Sc  0.000  0.000  0.000
Si  0.250  0.250  0.250
Si  0.500  0.500  0.500
Ni  0.750  0.750  0.750



[8]
A relaxed structure of Sc2Si3Ni, computed with PBE.

Output
* formation energy without anion corrections: -675.4 meV/atom

a = 5.119 Å, b = 5.119 Å, c = 7.811 Å
α = 90.00°, β = 90.00°, γ = 120.00°
Sites, in units of the cell vectors:
Sc  0.333  0.667  0.065
Sc  0.333  0.667  0.435
Sc  0.667  0.333  0.565
Sc  0.667  0.333  0.935
Si  0.168  0.336  0.750
Si  0.168  0.832  0.750
Si  0.336  0.168  0.250
Si  0.664  0.832  0.750
Si  0.832  0.168  0.250
Si  0.832  0.664  0.250
Ni  0.000  0.000  0.000
Ni  0.000  0.000  0.500



[9]
A relaxed structure of ScSiNi, computed with PBE.

Output
* formation energy without anion corrections: 139.8 meV/atom

a = 4.278 Å, b = 4.278 Å, c = 4.278 Å
α = 60.00°, β = 60.00°, γ = 60.00°
Sites, in units of the cell vectors:
Sc  0.000  0.000  0.000
Si  0.250  0.250  0.250
Ni  0.750  0.750  0.750



[10]
A relaxed structure of ScSiNi2, computed with PBE.

Output
* formation energy without anion corrections: -433.2 meV/atom

a = 3.140 Å, b = 3.140 Å, c = 5.627 Å
α = 90.00°, β = 90.00°, γ = 90.00°
Sites, in units of the cell vectors:
Sc  0.000  0.000  0.000
Si  0.500  0.500  0.335
Ni  0.000  0.000  0.492
Ni  0.500  0.500  0.746



[11]
A relaxed structure of ScSi2Ni, computed with PBE.

Output
* formation energy without anion corrections: -686.7 meV/atom

a = 3.834 Å, b = 3.834 Å, c = 5.233 Å
α = 111.55°, β = 111.55°, γ = 60.02°
Sites, in units of the cell vectors:
Sc  0.000  0.000  0.000
Si  0.215  0.215  0.646
Si  0.785  0.785  0.354
Ni  0.500  0.500  0.500



[12]
A relaxed structure of Sc4Si7Ni, computed with PBE.

Output
* formation energy without anion corrections: -479.6 meV/atom

a = 3.668 Å, b = 3.847 Å, c = 13.946 Å
α = 90.00°, β = 90.00°, γ = 90.00°
Sites, in units of the cell vectors:
Sc  0.000  0.000  0.000
Sc  0.000  0.500  0.483
Sc  0.500  0.000  0.179
Sc  0.500  0.500  0.694
Si  0.000  0.000  0.334
Si  0.000  0.000  0.640
Si  0.000  0.500  0.132
Si  0.000  0.500  0.855
Si  0.500  0.000  0.529
Si  0.500  0.000  0.853
Si  0.500  0.500  0.325
Ni  0.500  0.500  0.993



[13]
A relaxed structure of ScSi2Ni, computed with PBE.

Output
* formation energy without anion corrections: -403.0 meV/atom

a = 2.897 Å, b = 2.897 Å, c = 6.762 Å
α = 90.00°, β = 90.00°, γ = 90.00°
Sites, in units of the cell vectors:
Sc  0.000  0.000  0.000
Si  0.500  0.500  0.294
Si  0.500  0.500  0.706
Ni  0.000  0.000  0.500



[14]
A relaxed structure of Sc2Si3Ni, computed with PBE.

Output
* formation energy without anion corrections: -742.3 meV/atom

a = 7.816 Å, b = 7.734 Å, c = 5.383 Å
α = 70.56°, β = 68.94°, γ = 40.50°
Sites, in units of the cell vectors:
Sc  0.245  0.755  0.755
Sc  0.250  0.250  0.250
Sc  0.750  0.750  0.750
Sc  0.755  0.245  0.245
Si  0.171  0.171  0.829
Si  0.173  0.657  0.343
Si  0.343  0.827  0.173
Si  0.657  0.173  0.827
Si  0.827  0.343  0.657
Si  0.829  0.829  0.171
Ni  0.333  0.333  0.667
Ni  0.667  0.667  0.333



[15]
A relaxed structure of ScSiNi2, computed with PBE.

Output
* formation energy without anion corrections: -249.0 meV/atom

a = 4.876 Å, b = 4.876 Å, c = 2.841 Å
α = 104.88°, β = 104.88°, γ = 112.41°
Sites, in units of the cell vectors:
Sc  0.000  0.000  0.000
Si  0.500  0.500  0.000
Ni  0.000  0.500  0.500
Ni  0.500  0.000  0.500



[16]
A relaxed structure of ScSi2Ni, computed with PBE.

Output
* formation energy without anion corrections: -390.7 meV/atom

a = 3.126 Å, b = 3.126 Å, c = 6.024 Å
α = 90.00°, β = 90.00°, γ = 90.00°
Sites, in units of the cell vectors:
Sc  0.000  0.000  0.000
Si  0.000  0.000  0.520
Si  0.500  0.500  0.283
Ni  0.500  0.500  0.674



[17]
A relaxed structure of Sc8SiNi2, computed with PBE.

Output
* formation energy without anion corrections: -233.0 meV/atom

a = 7.341 Å, b = 7.341 Å, c = 4.776 Å
α = 98.34°, β = 98.34°, γ = 113.42°
Sites, in units of the cell vectors:
Sc  0.074  0.324  0.583
Sc  0.240  0.760  0.000
Sc  0.324  0.074  0.583
Sc  0.381  0.381  0.191
Sc  0.619  0.619  0.809
Sc  0.676  0.926  0.417
Sc  0.760  0.240  0.000
Sc  0.926  0.676  0.417
Si  0.000  0.000  0.000
Ni  0.312  0.688  0.500
Ni  0.688  0.312  0.500



[18]
A relaxed structure of ScSi2Ni, computed with PBE.

Output
* formation energy without anion corrections: -53.0 meV/atom

a = 8.046 Å, b = 8.046 Å, c = 8.046 Å
α = 21.60°, β = 21.60°, γ = 21.60°
Sites, in units of the cell vectors:
Sc  0.000  0.000  0.000
Si  0.509  0.509  0.509
Si  0.762  0.762  0.762
Ni  0.244  0.244  0.244



[19]
A relaxed structure of ScSiNi2, computed with PBE.

Output
* formation energy without anion corrections: -472.5 meV/atom

a = 4.780 Å, b = 4.780 Å, c = 4.780 Å
α = 137.97°, β = 130.39°, γ = 66.99°
Sites, in units of the cell vectors:
Sc  0.000  0.000  0.000
Si  0.264  0.764  0.500
Ni  0.471  0.471  0.000
Ni  0.739  0.239  0.500



[20]
A relaxed structure of ScSiNi, computed with PBE.

Output
* formation energy without anion corrections: -624.2 meV/atom

a = 5.063 Å, b = 3.768 Å, c = 9.805 Å
α = 90.00°, β = 90.00°, γ = 90.00°
Sites, in units of the cell vectors:
Sc  0.127  0.250  0.141
Sc  0.373  0.750  0.641
Sc  0.627  0.250  0.359
Sc  0.873  0.750  0.859
Si  0.146  0.250  0.467
Si  0.354  0.750  0.967
Si  0.646  0.250  0.033
Si  0.854  0.750  0.533
Ni  0.116  0.750  0.334
Ni  0.384  0.250  0.834
Ni  0.616  0.750  0.166
Ni  0.884  0.250  0.666



Table of density (g/cm3), in record order: 5.55; 4.12; 4.48; 5.55; 4.56; 3.61; 4.53; 4.36; 3.95; 5.70; 4.40; 3.67; 4.68; 3.94; 5.71; 4.51; 3.68; 4.29; 5.77; 4.68
Table of Fermi-level density of states (states/eV/cell), in record order: 3.235; 5.810; 24.608; 6.639; 6.325; 12.055; 2.394; 4.639; 3.365; 3.452; 1.363; 5.187; 2.757; 6.133; 3.215; 1.822; 16.090; 2.932; 2.594; 4.519